Material: PaTcPb2O8
Method: DFT, PBE
State: optimized geometry

## Properties
- raw formation energy (eV per formula unit) = -21.784
- final energy (eV/atom) = -7.394

POSCAR file:
```
PaTcPb2O8
1.0
5.358 0.000 0.000
0.000 6.710 0.000
-0.048 0.000 5.368
Pa Tc Pb O
1 1 2 8
Cartesian
0.000 0.000 0.000 Pa
0.000 3.355 0.000 Tc
2.655 1.720 2.684 Pb
2.655 4.990 2.684 Pb
0.864 1.843 4.448 O
0.864 4.867 4.448 O
1.289 3.355 1.276 O
1.477 0.000 1.479 O
3.833 0.000 3.889 O
4.020 3.355 4.092 O
4.446 1.843 0.920 O
4.446 4.867 0.920 O
```